## LiAc2Rh3O8 (GGA-PBE)

Data for a relaxed LiAc2Rh3O8 crystal.

The structure in CIF format:
```
data_LiAc2Rh3O8
_cell_length_a 6.5237
_cell_length_b 6.5237
_cell_length_c 16.7961
_cell_angle_alpha 90.00
_cell_angle_beta 90.00
_cell_angle_gamma 120.00
_symmetry_space_group_name_H-M 'R 3 m'
_symmetry_Int_Tables_number 160
_symmetry_space_group_name_Hall 'R 3 -2"'
loop_
_atom_site_label
_atom_site_fract_x
_atom_site_fract_y
_atom_site_fract_z
Li1 0.0000 0.0000 0.0000
Ac1 0.0000 0.0000 0.1948
Ac2 0.0000 0.0000 0.5759
Rh1 0.1682 0.3364 0.4002
O1 0.0000 0.0000 0.3429
O2 0.0000 0.0000 0.7904
O3 0.0111 0.5056 0.3392
O4 0.1818 0.3636 0.1314
```

The calculated volume is 14.739 Å³/atom. The value obtained for the raw formation energy is -1.67 eV/atom.



## HgAuBr2 (GGA-PBE)

Data for a relaxed HgAuBr2 crystal.

The structure in CIF format:
```
data_HgAuBr2
_cell_length_a 7.9610
_cell_length_b 8.0052
_cell_length_c 4.8204
_cell_angle_alpha 90.00
_cell_angle_beta 126.86
_cell_angle_gamma 90.00
_symmetry_space_group_name_H-M 'C 1 2/m 1'
_symmetry_Int_Tables_number 12
_symmetry_space_group_name_Hall '-C 2y'
loop_
_atom_site_label
_atom_site_fract_x
_atom_site_fract_y
_atom_site_fract_z
Hg1 0.0000 0.0000 0.0000
Au1 0.0000 0.5000 0.0000
Br1 0.2500 0.2500 0.5000
```

The calculated volume is 30.726 Å³/atom. The energy above the most stable polymorph in this dataset is 0.166 eV/atom. The value obtained for the raw formation energy is 0.04 eV/atom.



## Ce2Cd2In3 (GGA-PBE)

Data for a relaxed Ce2Cd2In3 crystal.

The structure in CIF format:
```
data_Ce2Cd2In3
_cell_length_a 6.3017
_cell_length_b 3.1358
_cell_length_c 10.5671
_cell_angle_alpha 90.00
_cell_angle_beta 107.23
_cell_angle_gamma 90.00
_symmetry_space_group_name_H-M 'P 1 2/m 1'
_symmetry_Int_Tables_number 10
_symmetry_space_group_name_Hall '-P 2y'
loop_
_atom_site_label
_atom_site_fract_x
_atom_site_fract_y
_atom_site_fract_z
Ce1 0.1190 0.0000 0.2539
Cd1 0.3623 0.5000 0.7459
In1 0.2479 0.5000 0.0052
In2 0.5000 0.5000 0.5000
```

The calculated volume is 28.492 Å³/atom. The energy above the most stable polymorph in this dataset is 0.164 eV/atom. The formation energy comes out at -0.093 eV/atom.



## Ti3Mo (GGA-PBE)

Data for a relaxed Ti3Mo crystal.

The structure in CIF format:
```
data_Ti3Mo
_cell_length_a 3.7668
_cell_length_b 3.7668
_cell_length_c 9.2990
_cell_angle_alpha 90.00
_cell_angle_beta 90.00
_cell_angle_gamma 90.00
_symmetry_space_group_name_H-M 'I 4/m m m'
_symmetry_Int_Tables_number 139
_symmetry_space_group_name_Hall '-I 4 2'
loop_
_atom_site_label
_atom_site_fract_x
_atom_site_fract_y
_atom_site_fract_z
Ti1 0.0000 0.0000 0.0000
Ti2 0.0000 0.5000 0.2500
Mo1 0.0000 0.0000 0.5000
```

The calculated volume is 16.493 Å³/atom. The formation energy comes out at 0.047 eV/atom.



## SmDyMgPb (GGA-PBE)

Data for a relaxed SmDyMgPb crystal.

The structure in CIF format:
```
data_SmDyMgPb
_cell_length_a 7.6424
_cell_length_b 7.6424
_cell_length_c 7.6424
_cell_angle_alpha 90.00
_cell_angle_beta 90.00
_cell_angle_gamma 90.00
_symmetry_space_group_name_H-M 'F -4 3 m'
_symmetry_Int_Tables_number 216
_symmetry_space_group_name_Hall 'F -4 2 3'
loop_
_atom_site_label
_atom_site_fract_x
_atom_site_fract_y
_atom_site_fract_z
Sm1 0.0000 0.0000 0.0000
Dy1 0.0000 0.0000 0.5000
Mg1 0.2500 0.2500 0.7500
Pb1 0.2500 0.2500 0.2500
```

The calculated volume is 27.898 Å³/atom. The formation energy comes out at -0.293 eV/atom.



## ZnCu2Tc (GGA-PBE)

Data for a relaxed ZnCu2Tc crystal.

The structure in CIF format:
```
data_ZnCu2Tc
_cell_length_a 8.8867
_cell_length_b 2.5487
_cell_length_c 4.7550
_cell_angle_alpha 90.00
_cell_angle_beta 98.94
_cell_angle_gamma 90.00
_symmetry_space_group_name_H-M 'C 1 2/m 1'
_symmetry_Int_Tables_number 12
_symmetry_space_group_name_Hall '-C 2y'
loop_
_atom_site_label
_atom_site_fract_x
_atom_site_fract_y
_atom_site_fract_z
Zn1 0.0000 0.0000 0.0000
Cu1 0.2489 0.5000 0.2529
Tc1 0.0000 0.5000 0.5000
```

The calculated volume is 13.299 Å³/atom. The formation energy comes out at 0.156 eV/atom.



## PaTaCo5Ge2 (GGA-PBE)

Data for a relaxed PaTaCo5Ge2 crystal.

The structure in CIF format:
```
data_PaTaCo5Ge2
_cell_length_a 3.8050
_cell_length_b 3.8050
_cell_length_c 8.6651
_cell_angle_alpha 90.00
_cell_angle_beta 90.00
_cell_angle_gamma 90.00
_symmetry_space_group_name_H-M 'P 4/m m m'
_symmetry_Int_Tables_number 123
_symmetry_space_group_name_Hall '-P 4 2'
loop_
_atom_site_label
_atom_site_fract_x
_atom_site_fract_y
_atom_site_fract_z
Pa1 0.0000 0.0000 0.0000
Ta1 0.0000 0.0000 0.5000
Co1 0.0000 0.5000 0.2175
Co2 0.5000 0.5000 0.0000
Ge1 0.5000 0.5000 0.3630
```

The calculated volume is 13.940 Å³/atom. The formation energy comes out at -0.129 eV/atom.



## CeSm4Tm5 (GGA-PBE)

Data for a relaxed CeSm4Tm5 crystal.

The structure in CIF format:
```
data_CeSm4Tm5
_cell_length_a 10.5330
_cell_length_b 10.5330
_cell_length_c 5.8623
_cell_angle_alpha 90.00
_cell_angle_beta 90.00
_cell_angle_gamma 90.00
_symmetry_space_group_name_H-M 'I 4 m m'
_symmetry_Int_Tables_number 107
_symmetry_space_group_name_Hall 'I 4 -2'
loop_
_atom_site_label
_atom_site_fract_x
_atom_site_fract_y
_atom_site_fract_z
Ce1 0.0000 0.0000 0.0000
Sm1 0.0000 0.3239 0.7515
Tm1 0.0000 0.0000 0.5303
Tm2 0.1867 0.1867 0.2548
```

The calculated volume is 32.520 Å³/atom. The energy above the most stable polymorph in this dataset is 0.199 eV/atom. The formation energy comes out at 0.259 eV/atom.



## Sm3Si2Br2 (GGA-PBE)

Data for a relaxed Sm3Si2Br2 crystal.

The structure in CIF format:
```
data_Sm3Si2Br2
_cell_length_a 4.1271
_cell_length_b 7.2627
_cell_length_c 7.7590
_cell_angle_alpha 78.46
_cell_angle_beta 89.95
_cell_angle_gamma 73.68
_symmetry_space_group_name_H-M 'P -1'
_symmetry_Int_Tables_number 2
_symmetry_space_group_name_Hall '-P 1'
loop_
_atom_site_label
_atom_site_fract_x
_atom_site_fract_y
_atom_site_fract_z
Sm1 0.0000 0.0000 0.0000
Sm2 0.2398 0.5177 0.7705
Si1 0.3787 0.2447 0.1090
Br1 0.1367 0.7299 0.3737
```

The calculated volume is 31.186 Å³/atom. The value obtained for the raw formation energy is -0.92 eV/atom.



## YHoCdPd (GGA-PBE)

Data for a relaxed YHoCdPd crystal.

The structure in CIF format:
```
data_YHoCdPd
_cell_length_a 7.2393
_cell_length_b 7.2393
_cell_length_c 7.2393
_cell_angle_alpha 90.00
_cell_angle_beta 90.00
_cell_angle_gamma 90.00
_symmetry_space_group_name_H-M 'F -4 3 m'
_symmetry_Int_Tables_number 216
_symmetry_space_group_name_Hall 'F -4 2 3'
loop_
_atom_site_label
_atom_site_fract_x
_atom_site_fract_y
_atom_site_fract_z
Y1 0.0000 0.0000 0.0000
Ho1 0.0000 0.0000 0.5000
Cd1 0.2500 0.2500 0.2500
Pd1 0.2500 0.2500 0.7500
```

The calculated volume is 23.713 Å³/atom. The energy above the most stable polymorph in this dataset is 0.054 eV/atom. The formation energy comes out at -0.559 eV/atom.



## Tb2ZnRh (GGA-PBE)

Data for a relaxed Tb2ZnRh crystal.

The structure in CIF format:
```
data_Tb2ZnRh
_cell_length_a 5.6766
_cell_length_b 4.4693
_cell_length_c 7.6040
_cell_angle_alpha 90.00
_cell_angle_beta 110.77
_cell_angle_gamma 90.00
_symmetry_space_group_name_H-M 'P 1 21/m 1'
_symmetry_Int_Tables_number 11
_symmetry_space_group_name_Hall '-P 2yb'
loop_
_atom_site_label
_atom_site_fract_x
_atom_site_fract_y
_atom_site_fract_z
Tb1 0.2101 0.2500 0.4344
Tb2 0.2295 0.2500 0.9239
Zn1 0.3442 0.7500 0.2134
Rh1 0.3529 0.7500 0.7142
```

The calculated volume is 22.547 Å³/atom. The formation energy comes out at -0.619 eV/atom.



## BeTcP2 (GGA-PBE)

Data for a relaxed BeTcP2 crystal.

The structure in CIF format:
```
data_BeTcP2
_cell_length_a 3.0562
_cell_length_b 3.0562
_cell_length_c 5.2967
_cell_angle_alpha 90.00
_cell_angle_beta 90.00
_cell_angle_gamma 90.00
_symmetry_space_group_name_H-M 'P 4/m m m'
_symmetry_Int_Tables_number 123
_symmetry_space_group_name_Hall '-P 4 2'
loop_
_atom_site_label
_atom_site_fract_x
_atom_site_fract_y
_atom_site_fract_z
Be1 0.0000 0.0000 0.0000
Tc1 0.0000 0.0000 0.5000
P1 0.5000 0.5000 0.2442
```

The calculated volume is 12.368 Å³/atom. The formation energy comes out at 0.013 eV/atom.